Entry from Alexandria: Sn2RhN2 after structural relaxation (GGA-PBE).

The structure belongs to space group P4/mbm (No. 127); the cell edges are 6.5683, 6.5683 and 3.4995 Å and the angles 90.00°, 90.00° and 90.00°. The distinct sites, in fractional coordinates, are Sn at (0.1547, 0.3453, 0.0000), Rh at (0.0000, 0.0000, 0.5000) and N at (0.2148, 0.7148, 0.5000).

For the relative energy among the computed polymorphs, the calculation gives 31 meV/atom. The crystal system is tetragonal. As for the formation energy without anion corrections: 0.6818 eV per atom. The density of states at the Fermi level comes out at 4.792 states/eV/cell.